1.
PaAg2GeO8 PBE optimized geometry; space group = P-3m1, No. 164; raw total energy = -0.2143 hartree per atom; crystal system = trigonal
1.0
6.1455 0.0000 0.0000
-3.0727 5.3221 0.0000
0.0000 0.0000 5.6804
Pa Ag Ge O
1 2 1 8
Cartesian
0.0000 0.0000 0.0000
0.0000 3.5481 3.2266
3.0727 1.7740 2.4538
0.0000 0.0000 2.8402
0.0000 1.4985 4.0751
-1.7750 4.5729 4.0751
1.2977 0.7492 1.6053
0.0000 3.5481 1.2319
3.0727 1.7740 4.4485
1.7750 4.5729 4.0751
4.8477 0.7492 1.6053
3.0727 3.8236 1.6053



2.
AgGePbO4 PBE optimized geometry; space group = Imma, No. 74; raw total energy = -0.1971 hartree per atom; crystal system = orthorhombic
1.0
-3.0036 3.5325 4.7058
3.0036 -3.5325 4.7058
3.0036 3.5325 -4.7058
Ag Ge Pb O
2 2 2 8
Cartesian
0.0000 1.7662 1.4105
3.0036 1.7662 3.2953
1.5018 1.7662 -2.3529
1.5018 -1.7662 2.3529
3.0036 0.0000 0.0000
0.0000 0.0000 4.7058
3.0036 3.0769 -2.3549
3.0036 -0.4556 2.3549
1.5538 1.7662 -0.4258
4.4534 1.7662 -0.4258
-1.4498 1.7662 5.1316
1.4498 1.7662 5.1316
0.0000 3.9881 2.3509
0.0000 0.4556 7.0607



> The highest raw total energy belongs to which entry?

AgGePbO4



> Among the records above, which one has the lowest raw total energy?

PaAg2GeO8



Please write out number 2 again, unchanged.
AgGePbO4 PBE optimized geometry; space group = Imma, No. 74; raw total energy = -0.1971 hartree per atom; crystal system = orthorhombic
1.0
-3.0036 3.5325 4.7058
3.0036 -3.5325 4.7058
3.0036 3.5325 -4.7058
Ag Ge Pb O
2 2 2 8
Cartesian
0.0000 1.7662 1.4105
3.0036 1.7662 3.2953
1.5018 1.7662 -2.3529
1.5018 -1.7662 2.3529
3.0036 0.0000 0.0000
0.0000 0.0000 4.7058
3.0036 3.0769 -2.3549
3.0036 -0.4556 2.3549
1.5538 1.7662 -0.4258
4.4534 1.7662 -0.4258
-1.4498 1.7662 5.1316
1.4498 1.7662 5.1316
0.0000 3.9881 2.3509
0.0000 0.4556 7.0607